No. 1
! PmPa3Ir2 (GGA-PBE, relaxed); values from VASP
! E_tot	-107.22	eV for the cell shown
! formation energy	-0.442	eV per atom
! DOS at the Fermi energy	18.3	states/eV/cell
&SYSTEM
  ibrav = 0, nat = 12, ntyp = 3
/
ATOMIC_SPECIES
Pm 145.00 Pm.upf
Pa 231.04 Pa.upf
Ir 192.22 Ir.upf
CELL_PARAMETERS angstrom
8.362 -2.357 0.000
8.362 2.357 0.000
-3.180 0.000 6.976
ATOMIC_POSITIONS crystal
Pm 0.122 0.122 0.192
Pm 0.878 0.878 0.808
Pa 0.062 0.062 0.698
Pa 0.306 0.306 0.043
Pa 0.378 0.378 0.466
Pa 0.622 0.622 0.534
Pa 0.694 0.694 0.957
Pa 0.938 0.938 0.302
Ir 0.240 0.240 0.640
Ir 0.484 0.484 0.159
Ir 0.516 0.516 0.841
Ir 0.760 0.760 0.360

No. 2
! PmPaIr2 (GGA-PBE, relaxed); values from VASP
! excess energy over the best structure of this formula in the dataset	0	meV per atom
! E_tot	-70.78	eV for the cell shown
! formation energy	-0.856	eV per atom
! DOS at the Fermi energy	4.9	states/eV/cell
&SYSTEM
  ibrav = 0, nat = 8, ntyp = 3
/
ATOMIC_SPECIES
Pm 145.00 Pm.upf
Pa 231.04 Pa.upf
Ir 192.22 Ir.upf
CELL_PARAMETERS angstrom
4.315 0.000 0.000
0.000 5.752 0.000
0.000 0.000 7.617
ATOMIC_POSITIONS crystal
Pm 0.250 0.250 0.079
Pm 0.750 0.750 0.921
Pa 0.250 0.750 0.417
Pa 0.750 0.250 0.583
Ir 0.250 0.001 0.729
Ir 0.250 0.499 0.729
Ir 0.750 0.501 0.271
Ir 0.750 0.999 0.271

No. 3
! PmPaIr (GGA-PBE, relaxed); values from VASP
! excess energy over the best structure of this formula in the dataset	184	meV per atom
! E_tot	-96.74	eV for the cell shown
! formation energy	-0.360	eV per atom
! DOS at the Fermi energy	18.0	states/eV/cell
&SYSTEM
  ibrav = 0, nat = 12, ntyp = 3
/
ATOMIC_SPECIES
Pm 145.00 Pm.upf
Pa 231.04 Pa.upf
Ir 192.22 Ir.upf
CELL_PARAMETERS angstrom
6.706 0.000 0.000
0.000 5.972 0.000
-5.372 0.000 8.209
ATOMIC_POSITIONS crystal
Pm 0.197 0.117 0.397
Pm 0.197 0.383 0.897
Pm 0.803 0.617 0.103
Pm 0.803 0.883 0.603
Pa 0.327 0.616 0.634
Pa 0.327 0.884 0.134
Pa 0.673 0.116 0.866
Pa 0.673 0.384 0.366
Ir 0.326 0.635 0.357
Ir 0.326 0.865 0.857
Ir 0.674 0.135 0.143
Ir 0.674 0.365 0.643

The highest DOS at the Fermi energy belongs to which entry?
PmPa3Ir2

Among the records above, which one has the lowest formation energy?
PmPaIr2

The lowest formation energy belongs to which entry?
PmPaIr2